[1]
The following is a PBE calculation of Na2GaAsS4 after structural relaxation, from Alexandria via LeMat-Bulk.

```
Na2GaAsS4
1.0
8.959 0.000 0.000
0.000 7.583 0.000
0.000 0.000 5.925
Na Ga As S
4 2 2 8
direct
0.242 0.167 0.000 Na
0.258 0.833 0.500 Na
0.742 0.833 0.500 Na
0.758 0.167 0.000 Na
0.000 0.354 0.538 Ga
0.500 0.646 0.038 Ga
0.000 0.684 0.031 As
0.500 0.316 0.531 As
0.000 0.398 0.934 S
0.000 0.647 0.414 S
0.216 0.205 0.479 S
0.284 0.795 0.979 S
0.500 0.353 0.914 S
0.500 0.602 0.434 S
0.716 0.795 0.979 S
0.784 0.205 0.479 S
```

Output
Space group ... Pmn2_1 (31)
Uncorrected formation energy ... -703 meV/atom

[2]
The following is a PBE calculation of Ti2CuI6 after structural relaxation, from Alexandria via LeMat-Bulk.

```
Ti2CuI6
1.0
7.999 -7.742 0.000
7.999 7.742 0.000
-3.268 0.000 6.477
Ti Cu I
4 2 12
direct
0.170 0.323 0.101 Ti
0.323 0.170 0.601 Ti
0.677 0.830 0.399 Ti
0.830 0.677 0.899 Ti
0.254 0.746 0.250 Cu
0.746 0.254 0.750 Cu
0.063 0.752 0.925 I
0.153 0.332 0.721 I
0.248 0.937 0.575 I
0.259 0.552 0.384 I
0.332 0.153 0.221 I
0.448 0.741 0.116 I
0.552 0.259 0.884 I
0.668 0.847 0.779 I
0.741 0.448 0.616 I
0.752 0.063 0.425 I
0.847 0.668 0.279 I
0.937 0.248 0.075 I
```

Output
Space group ... C2/c (15)
Uncorrected formation energy ... -473 meV/atom

[3]
The following is a PBE calculation of Zr4FeCu3 after structural relaxation, from Alexandria via LeMat-Bulk.

```
Zr4FeCu3
1.0
3.235 0.000 0.000
0.000 3.235 0.000
0.000 0.000 13.191
Zr Fe Cu
4 1 3
direct
0.000 0.000 0.117 Zr
0.000 0.000 0.372 Zr
0.000 0.000 0.628 Zr
0.000 0.000 0.883 Zr
0.500 0.500 0.000 Fe
0.500 0.500 0.245 Cu
0.500 0.500 0.500 Cu
0.500 0.500 0.755 Cu
```

Output
Space group ... P4/mmm (123)
Energy of formation ... -99 kJ/mol of formula units

[4]
The following is a PBE calculation of BaZrPt after structural relaxation, from Alexandria via LeMat-Bulk.

```
BaZrPt
1.0
0.000 3.556 3.556
3.556 0.000 3.556
3.556 3.556 0.000
Ba Zr Pt
1 1 1
direct
0.000 0.000 0.000 Ba
0.500 0.500 0.500 Zr
0.250 0.250 0.250 Pt
```

Output
Space group ... F-43m (216)
Polymorph energy (0 for the lowest one) ... 757 meV/atom
Energy of formation ... 26 kJ/mol of formula units

[5]
The following is a PBE calculation of LaTmCo after structural relaxation, from Alexandria via LeMat-Bulk.

```
LaTmCo
1.0
3.944 0.000 0.000
-1.972 3.415 0.000
0.000 0.000 6.255
La Tm Co
1 1 1
direct
0.000 0.000 0.000 La
0.667 0.333 0.540 Tm
0.333 0.667 0.765 Co
```

Output
Space group ... P3m1 (156)
Polymorph energy (0 for the lowest one) ... 84 meV/atom
Energy of formation ... -20 kJ/mol of formula units

[6]
The following is a PBE calculation of Ac8TcRh2 after structural relaxation, from Alexandria via LeMat-Bulk.

```
Ac8TcRh2
1.0
6.950 -3.847 0.000
6.950 3.847 0.000
-0.045 0.000 7.853
Ac Tc Rh
8 1 2
direct
0.204 0.204 0.887 Ac
0.208 0.711 0.739 Ac
0.289 0.792 0.261 Ac
0.290 0.290 0.402 Ac
0.710 0.710 0.598 Ac
0.711 0.208 0.739 Ac
0.792 0.289 0.261 Ac
0.796 0.796 0.113 Ac
0.000 0.000 0.000 Tc
0.107 0.107 0.555 Rh
0.893 0.893 0.445 Rh
```

Output
Space group ... C2/m (12)
Energy of formation ... -189 kJ/mol of formula units

[7]
The following is a PBE calculation of Li2In3Ag3 after structural relaxation, from Alexandria via LeMat-Bulk.

```
Li2In3Ag3
1.0
8.252 0.000 0.000
-4.126 7.147 0.000
0.000 0.000 5.564
Li In Ag
4 6 6
direct
0.333 0.667 0.000 Li
0.333 0.667 0.500 Li
0.667 0.333 0.000 Li
0.667 0.333 0.500 Li
0.000 0.267 0.250 In
0.000 0.733 0.750 In
0.267 0.000 0.250 In
0.267 0.267 0.750 In
0.733 0.000 0.750 In
0.733 0.733 0.250 In
0.000 0.391 0.750 Ag
0.000 0.609 0.250 Ag
0.391 0.000 0.750 Ag
0.391 0.391 0.250 Ag
0.609 0.000 0.250 Ag
0.609 0.609 0.750 Ag
```

Output
Space group ... P6_3/mcm (193)
Polymorph energy (0 for the lowest one) ... 0 meV/atom
Energy of formation ... -98 kJ/mol of formula units

[8]
The following is a PBE calculation of Th2CdTe4 after structural relaxation, from Alexandria via LeMat-Bulk.

```
Th2CdTe4
1.0
-3.789 3.789 3.707
3.789 -3.789 3.707
3.789 3.789 -3.707
Th Cd Te
2 1 4
direct
0.000 0.500 0.500 Th
0.500 0.000 0.500 Th
0.000 0.000 0.000 Cd
0.069 0.069 0.607 Te
0.462 0.462 0.393 Te
0.538 0.931 0.000 Te
0.931 0.538 0.000 Te
```

Output
Space group ... I-42m (121)
Uncorrected formation energy ... -857 meV/atom

[9]
The following is a PBE calculation of Pm4NdPt after structural relaxation, from Alexandria via LeMat-Bulk.

```
Pm4NdPt
1.0
2.922 -9.557 0.000
2.922 9.557 0.000
0.000 0.000 7.596
Pm Nd Pt
8 2 2
direct
0.025 0.975 0.500 Pm
0.188 0.812 0.886 Pm
0.218 0.782 0.404 Pm
0.389 0.611 0.656 Pm
0.611 0.389 0.156 Pm
0.782 0.218 0.904 Pm
0.812 0.188 0.386 Pm
0.975 0.025 0.000 Pm
0.368 0.632 0.138 Nd
0.632 0.368 0.638 Nd
0.100 0.900 0.185 Pt
0.900 0.100 0.685 Pt
```

Output
Space group ... Cmc2_1 (36)
Energy of formation ... -126 kJ/mol of formula units

[10]
The following is a PBE calculation of MgTaCu after structural relaxation, from Alexandria via LeMat-Bulk.

```
MgTaCu
1.0
2.868 0.000 0.000
-1.434 2.484 0.000
0.000 0.000 7.138
Mg Ta Cu
1 1 1
direct
0.000 0.000 0.000 Mg
0.667 0.333 0.372 Ta
0.333 0.667 0.685 Cu
```

Output
Space group ... P3m1 (156)
Polymorph energy (0 for the lowest one) ... 160 meV/atom
Energy of formation ... 70 kJ/mol of formula units

[11]
The following is a PBE calculation of LiTc2Br after structural relaxation, from Alexandria via LeMat-Bulk.

```
LiTc2Br
1.0
6.748 -1.633 0.000
6.748 1.633 0.000
-0.785 0.000 3.168
Li Tc Br
1 2 1
direct
0.000 0.000 0.000 Li
0.292 0.292 0.292 Tc
0.708 0.708 0.708 Tc
0.500 0.500 0.500 Br
```

Output
Space group ... C2/m (12)
Polymorph energy (0 for the lowest one) ... 122 meV/atom
Uncorrected formation energy ... 158 meV/atom

[12]
The following is a PBE calculation of Ac2PbS after structural relaxation, from Alexandria via LeMat-Bulk.

```
Ac2PbS
1.0
3.765 0.000 0.000
0.000 3.765 0.000
0.000 0.000 8.525
Ac Pb S
2 1 1
direct
0.000 0.000 0.222 Ac
0.000 0.000 0.778 Ac
0.500 0.500 0.500 Pb
0.500 0.500 0.000 S
```

Output
Space group ... P4/mmm (123)
Polymorph energy (0 for the lowest one) ... 149 meV/atom
Uncorrected formation energy ... -1072 meV/atom

[13]
The following is a PBE calculation of Co2NiMo after structural relaxation, from Alexandria via LeMat-Bulk.

```
Co2NiMo
1.0
0.000 2.897 2.897
2.897 0.000 2.897
2.897 2.897 0.000
Co Ni Mo
2 1 1
direct
0.000 0.000 0.000 Co
0.250 0.250 0.250 Co
0.500 0.500 0.500 Ni
0.750 0.750 0.750 Mo
```

Output
Space group ... F-43m (216)
Polymorph energy (0 for the lowest one) ... 201 meV/atom
Energy of formation ... 73 kJ/mol of formula units

[14]
The following is a PBE calculation of Al3Re after structural relaxation, from Alexandria via LeMat-Bulk.

```
Al3Re
1.0
4.512 0.000 0.000
0.000 5.350 0.000
0.000 0.000 4.910
Al Re
6 2
direct
0.250 0.003 0.159 Al
0.250 0.497 0.159 Al
0.250 0.750 0.633 Al
0.750 0.250 0.367 Al
0.750 0.503 0.841 Al
0.750 0.997 0.841 Al
0.250 0.250 0.676 Re
0.750 0.750 0.324 Re
```

Output
Space group ... Pmmn (59)
Energy of formation ... -76 kJ/mol of formula units

[15]
The following is a PBE calculation of LiNiCl after structural relaxation, from Alexandria via LeMat-Bulk.

```
LiNiCl
1.0
4.391 -2.103 0.000
4.391 2.103 0.000
-3.481 0.000 5.811
Li Ni Cl
2 2 2
direct
0.000 0.000 0.000 Li
0.614 0.614 0.622 Li
0.274 0.274 0.945 Ni
0.725 0.725 0.069 Ni
0.007 0.007 0.638 Cl
0.552 0.552 0.212 Cl
```

Output
Space group ... Cm (8)
Polymorph energy (0 for the lowest one) ... 256 meV/atom
Uncorrected formation energy ... -469 meV/atom

[16]
The following is a PBE calculation of LiAc3In2 after structural relaxation, from Alexandria via LeMat-Bulk.

```
LiAc3In2
1.0
5.786 0.000 0.000
-2.893 5.011 0.000
0.000 0.000 14.158
Li Ac In
2 6 4
direct
0.333 0.667 0.170 Li
0.667 0.333 0.830 Li
0.000 0.000 0.251 Ac
0.000 0.000 0.749 Ac
0.333 0.667 0.418 Ac
0.333 0.667 0.918 Ac
0.667 0.333 0.082 Ac
0.667 0.333 0.582 Ac
0.000 0.000 0.000 In
0.000 0.000 0.500 In
0.333 0.667 0.675 In
0.667 0.333 0.325 In
```

Output
Space group ... P-3m1 (164)
Polymorph energy (0 for the lowest one) ... 0 meV/atom
Energy of formation ... -166 kJ/mol of formula units

[17]
The following is a PBE calculation of YMgCu5 after structural relaxation, from Alexandria via LeMat-Bulk.

```
YMgCu5
1.0
4.709 0.000 0.000
0.000 4.709 0.000
0.000 0.000 5.278
Y Mg Cu
1 1 5
direct
0.000 0.000 0.000 Y
0.500 0.500 0.500 Mg
0.000 0.500 0.266 Cu
0.000 0.500 0.734 Cu
0.500 0.000 0.266 Cu
0.500 0.000 0.734 Cu
0.500 0.500 0.000 Cu
```

Output
Space group ... P4/mmm (123)
Polymorph energy (0 for the lowest one) ... 281 meV/atom
Energy of formation ... 54 kJ/mol of formula units

[18]
The following is a PBE calculation of ZnCS2 after structural relaxation, from Alexandria via LeMat-Bulk.

```
ZnCS2
1.0
0.000 3.034 3.034
3.034 0.000 3.034
3.034 3.034 0.000
Zn C S
1 1 2
direct
0.000 0.000 0.000 Zn
0.500 0.500 0.500 C
0.250 0.250 0.250 S
0.750 0.750 0.750 S
```

Output
Space group ... Fm-3m (225)
Polymorph energy (0 for the lowest one) ... 1151 meV/atom
Uncorrected formation energy ... 1602 meV/atom

[19]
The following is a PBE calculation of BaCd6Hg6 after structural relaxation, from Alexandria via LeMat-Bulk.

```
BaCd6Hg6
1.0
-3.089 5.155 5.229
3.089 -5.155 5.229
3.089 5.155 -5.229
Ba Cd Hg
1 6 6
direct
0.000 0.000 0.000 Ba
0.000 0.000 0.500 Cd
0.000 0.500 0.000 Cd
0.242 0.500 0.742 Cd
0.500 0.000 0.000 Cd
0.500 0.500 0.500 Cd
0.758 0.500 0.258 Cd
0.188 0.688 0.500 Hg
0.345 0.345 0.000 Hg
0.354 0.000 0.354 Hg
0.646 0.000 0.646 Hg
0.655 0.655 0.000 Hg
0.812 0.312 0.500 Hg
```

Output
Space group ... Immm (71)
Polymorph energy (0 for the lowest one) ... 0 meV/atom
Energy of formation ... -177 kJ/mol of formula units

[20]
The following is a PBE calculation of GdNbV4 after structural relaxation, from Alexandria via LeMat-Bulk.

```
GdNbV4
1.0
0.000 3.679 3.679
3.679 0.000 3.679
3.679 3.679 0.000
Gd Nb V
1 1 4
direct
0.000 0.000 0.000 Gd
0.250 0.250 0.250 Nb
0.125 0.625 0.625 V
0.625 0.125 0.625 V
0.625 0.625 0.125 V
0.625 0.625 0.625 V
```

Output
Space group ... F-43m (216)
Energy of formation ... 139 kJ/mol of formula units

[21]
The following is a PBE calculation of KSb2Br6 after structural relaxation, from Alexandria via LeMat-Bulk.

```
KSb2Br6
1.0
7.097 -6.335 0.000
7.097 6.335 0.000
-6.528 0.000 9.742
K Sb Br
2 4 12
direct
0.066 0.934 0.750 K
0.934 0.066 0.250 K
0.320 0.413 0.781 Sb
0.413 0.320 0.281 Sb
0.587 0.680 0.719 Sb
0.680 0.587 0.219 Sb
0.089 0.192 0.618 Br
0.137 0.625 0.840 Br
0.192 0.089 0.118 Br
0.351 0.398 0.528 Br
0.375 0.863 0.660 Br
0.398 0.351 0.028 Br
0.602 0.649 0.972 Br
0.625 0.137 0.340 Br
0.649 0.602 0.472 Br
0.808 0.911 0.882 Br
0.863 0.375 0.160 Br
0.911 0.808 0.382 Br
```

Output
Space group ... C2/c (15)
Polymorph energy (0 for the lowest one) ... 0 meV/atom
Uncorrected formation energy ... -746 meV/atom

[22]
The following is a PBE calculation of FeCo2CuBi after structural relaxation, from Alexandria via LeMat-Bulk.

```
FeCo2CuBi
1.0
4.793 0.000 0.000
0.000 4.793 0.000
0.000 0.000 4.783
Fe Co Cu Bi
1 2 1 1
direct
0.000 0.000 0.000 Fe
0.000 0.500 0.500 Co
0.500 0.000 0.500 Co
0.500 0.500 0.000 Cu
0.500 0.500 0.500 Bi
```

Output
Space group ... P4/mmm (123)
Energy of formation ... 804 kJ/mol of formula units

[23]
The following is a PBE calculation of Pm3TmCd2 after structural relaxation, from Alexandria via LeMat-Bulk.

```
Pm3TmCd2
1.0
3.751 0.000 0.000
0.000 3.751 0.000
0.000 0.000 12.645
Pm Tm Cd
3 1 2
direct
0.000 0.000 0.000 Pm
0.000 0.000 0.312 Pm
0.000 0.000 0.688 Pm
0.500 0.500 0.500 Tm
0.500 0.500 0.157 Cd
0.500 0.500 0.843 Cd
```

Output
Space group ... P4/mmm (123)
Energy of formation ... -109 kJ/mol of formula units

[24]
The following is a PBE calculation of KCdCoCl6 after structural relaxation, from Alexandria via LeMat-Bulk.

```
KCdCoCl6
1.0
6.514 0.000 0.000
-3.257 5.642 0.000
0.000 0.000 6.829
K Cd Co Cl
1 1 1 6
direct
0.000 0.000 0.000 K
0.333 0.667 0.500 Cd
0.667 0.333 0.500 Co
0.391 0.045 0.695 Cl
0.391 0.346 0.305 Cl
0.654 0.045 0.305 Cl
0.654 0.609 0.695 Cl
0.955 0.346 0.695 Cl
0.955 0.609 0.305 Cl
```

Output
Space group ... P312 (149)
Uncorrected formation energy ... -1040 meV/atom